Below is a relaxed LaThPtN3 crystal, with properties calculated at the PBE level.

ΔE_f (raw): -0.832 eV/atom
Fermi-level density of states: 0.3 states/eV/f.u.

Cell and atoms, written as CIF:
```
data_LaThPtN3
_cell_length_a 3.5486
_cell_length_b 7.1978
_cell_length_c 8.9954
_cell_angle_alpha 110.01
_cell_angle_beta 90.00
_cell_angle_gamma 90.00
_symmetry_space_group_name_H-M 'P 1'
_symmetry_Int_Tables_number 1
_symmetry_space_group_name_Hall 'P 1'
loop_
_atom_site_label
_atom_site_type_symbol
_atom_site_fract_x
_atom_site_fract_y
_atom_site_fract_z
_atom_site_occupancy
La1 La 0.7500 0.7940 0.8282 1
La2 La 0.2500 0.2060 0.1718 1
Th1 Th 0.2500 0.7014 0.1602 1
Th2 Th 0.7500 0.2986 0.8398 1
Pt1 Pt 0.2500 0.1395 0.4987 1
Pt2 Pt 0.7500 0.8605 0.5013 1
N1 N 0.2500 0.7756 0.5348 1
N2 N 0.7500 0.8973 0.1107 1
N3 N 0.7500 0.4370 0.1201 1
N4 N 0.7500 0.2244 0.4652 1
N5 N 0.2500 0.5630 0.8799 1
N6 N 0.2500 0.1027 0.8893 1
```